# CrIn2Tc (GGA-PBE, relaxed)
data_CrIn2Tc
_space_group_name_H-M_alt 'I -4 m 2'
_space_group_IT_number 119
_space_group_name_Hall 'I -4 -2'
_cell_length_a 4.058
_cell_length_b 4.058
_cell_length_c 8.725
_cell_angle_alpha 90.00
_cell_angle_beta 90.00
_cell_angle_gamma 90.00
loop_
_atom_site_label
_atom_site_fract_x
_atom_site_fract_y
_atom_site_fract_z
Cr1 0.000 0.000 0.000
In1 0.000 0.000 0.500
In2 0.000 0.500 0.750
Tc1 0.000 0.500 0.250
# Total moment, μB/f.u.: 3.02
# ΔE_f, eV/atom: 0.42
# VASP energy, eV for the cell shown: -47.610